Material: Ac3Tb2Sm6
Method: DFT, PBE
State: relaxed

Cell lengths 3.7326, 3.7326, 99.0268 Å; angles 90.00, 90.00, 120.00 degrees
Space group R-3m (No. 166, hexagonal axes)
Asymmetric unit:
Ac: 0.0000 0.0000 0.0000 x3
Ac: 0.0000 0.0000 0.2711 x6
Tb: 0.0000 0.0000 0.4561 x6
Sm: 0.0000 0.0000 0.0937 x6
Sm: 0.0000 0.0000 0.1815 x6
Sm: 0.0000 0.0000 0.3644 x6

## Properties
DFT formation energy = 45 meV per atom
uncorrected energy = -148.22 eV per cell
crystal system = trigonal